Here is an optimized crystal structure of HfGeBr3 from Alexandria via LeMat-Bulk. Energies are from PBE.

a b c (Å): 5.293 5.293 5.293
angles (deg): 90.00 90.00 90.00
Each line ends with the local moment (μB).
Fractional coordinates of all 5 atoms:
Hf  0.000  0.000  0.000  0.18
Ge  0.500  0.500  0.500  0.68
Br  0.000  0.000  0.500  0.03
Br  0.000  0.500  0.000  0.01
Br  0.500  0.000  0.000  0.01

Results
Energy above the most stable polymorph in this dataset: 0.0 meV/atom
Space group: Pm-3m (221)
Formation energy (no corrections): -0.147 eV per atom
Magnetic moment: 2.0 μB/cell
Volume: 148.3 Å³/f.u.